Record 1
Mg2Cu | PBE-GGA | optimized geometry

a b c (Å): 3.0495 3.0495 24.5772
angles (deg): 90.00 90.00 90.00
Positions (direct):
1 Mg 0.0000 0.2500 0.3067
2 Mg 0.0000 0.2500 0.4433
3 Mg 0.0000 0.7500 0.5567
4 Mg 0.0000 0.7500 0.6933
5 Mg 0.5000 0.2500 0.0567
6 Mg 0.5000 0.2500 0.1933
7 Mg 0.5000 0.7500 0.8067
8 Mg 0.5000 0.7500 0.9433
9 Cu 0.0000 0.2500 0.8750
10 Cu 0.0000 0.7500 0.1250
11 Cu 0.5000 0.2500 0.6250
12 Cu 0.5000 0.7500 0.3750

The theoretical density is 3.26 g cm⁻³. The calculation puts the energy of formation at 0.010 eV/atom. For the calculated total energy, the calculation gives -2.4183 eV/atom. As for the space group: I4_1/amd, No. 141.


Record 2
Mg5Cu24 | PBE-GGA | optimized geometry

a b c (Å): 7.9146 7.9146 7.9146
angles (deg): 109.47 109.47 109.47
Positions (direct):
1 Mg 0.0000 0.0000 0.0000
2 Mg 0.0000 0.0000 0.3720
3 Mg 0.0000 0.3720 0.0000
4 Mg 0.3720 0.0000 0.0000
5 Mg 0.6280 0.6280 0.6280
6 Cu 0.0000 0.3232 0.5961
7 Cu 0.0000 0.5961 0.3232
8 Cu 0.0000 0.6222 0.8095
9 Cu 0.0000 0.8095 0.6222
10 Cu 0.1873 0.3778 0.3778
11 Cu 0.1905 0.1905 0.8127
12 Cu 0.1905 0.8127 0.1905
13 Cu 0.2729 0.6768 0.6768
14 Cu 0.3232 0.0000 0.5961
15 Cu 0.3232 0.5961 0.0000
16 Cu 0.3778 0.1873 0.3778
17 Cu 0.3778 0.3778 0.1873
18 Cu 0.4039 0.4039 0.7271
19 Cu 0.4039 0.7271 0.4039
20 Cu 0.5961 0.0000 0.3232
21 Cu 0.5961 0.3232 0.0000
22 Cu 0.6222 0.0000 0.8095
23 Cu 0.6222 0.8095 0.0000
24 Cu 0.6768 0.2729 0.6768
25 Cu 0.6768 0.6768 0.2729
26 Cu 0.7271 0.4039 0.4039
27 Cu 0.8095 0.0000 0.6222
28 Cu 0.8095 0.6222 0.0000
29 Cu 0.8127 0.1905 0.1905

The theoretical density is 7.16 g cm⁻³. The calculation puts the energy of formation at -0.027 eV/atom. For the calculated total energy, the calculation gives -3.6916 eV/atom. As for the space group: I-43m, No. 217.